A plane-wave DFT calculation with GGA+U was carried out for Li2InCoF8 after structural relaxation.

Cell: 5.701 5.701 5.701 Å, 110.24 110.24 107.95°
Element x y z (fractional)
In (0.000, 0.000, 0.000)
F (0.900, 0.695, 0.205)
F (0.305, 0.509, 0.205)
F (0.359, 0.043, 0.316)
F (0.957, 0.641, 0.684)
F (0.305, 0.100, 0.795)
F (0.491, 0.695, 0.795)
F (0.728, 0.043, 0.684)
F (0.957, 0.272, 0.316)
Li (0.750, 0.250, 0.500)
Li (0.500, 0.500, 0.000)
Co (0.250, 0.750, 0.500)

Properties
space group: I-4m2, No. 119
DFT total energy: -0.3379 Ry/atom
DOS at the Fermi energy: 0.00 states/eV per atom